[1]
A plane-wave DFT calculation with PBE-GGA was carried out for KRb6O after structural relaxation.

extended XYZ file:
```
16
Lattice="7.8971 -4.2498 0.0000 7.8971 4.2498 0.0000 -4.3033 0.0000 15.7262" Properties=species:S:1:pos:R:3 pbc="T T T"
K 4.6696 2.8443 11.7947
K 6.8213 -2.8443 3.9316
Rb 0.3300 0.2026 8.5648
Rb 0.7022 0.7861 13.4797
Rb 2.4817 -0.2026 0.7017
Rb 6.1348 1.2328 1.5382
Rb 2.8539 -0.7861 5.6166
Rb 7.5078 1.2328 6.3249
Rb 3.9831 -1.2328 9.4014
Rb 8.6370 0.7861 10.1096
Rb 5.3561 -1.2328 14.1880
Rb 9.0093 0.2026 15.0246
Rb 10.7887 -0.7861 2.2465
Rb 11.1609 -0.2026 7.1614
O 3.9486 2.1249 0.0000
O 1.7969 -2.1249 7.8631
```

Values from the calculation:
Space group   C2/c, No. 15
DOS(E_F)   5.09 states/eV/f.u.


[2]
A plane-wave DFT calculation with PBE-GGA was carried out for MgWCl3 after structural relaxation.

extended XYZ file:
```
5
Lattice="4.9204 0.0000 0.0000 0.0000 4.9204 0.0000 0.0000 0.0000 4.9204" Properties=species:S:1:pos:R:3 pbc="T T T"
Mg 0.0000 0.0000 0.0000
W 2.4602 2.4602 2.4602
Cl 0.0000 2.4602 2.4602
Cl 2.4602 0.0000 2.4602
Cl 2.4602 2.4602 0.0000
```

Values from the calculation:
Space group   Pm-3m, No. 221
DOS(E_F)   2.33 states/eV/f.u.


[3]
A plane-wave DFT calculation with PBE-GGA was carried out for CdMoS2 after structural relaxation.

extended XYZ file:
```
12
Lattice="3.4933 0.0000 0.0000 -1.7467 3.0253 0.0000 0.0000 0.0000 23.8691" Properties=species:S:1:pos:R:3 pbc="T T T"
Cd 0.0000 0.0000 0.0000
Cd 0.0000 2.0169 15.9127
Cd 1.7467 1.0084 7.9564
Mo 0.0000 0.0000 11.9346
Mo 0.0000 2.0169 3.9782
Mo 1.7467 1.0084 19.8909
S 0.0000 0.0000 9.6750
S 0.0000 0.0000 14.1941
S 0.0000 2.0169 1.7186
S 0.0000 2.0169 6.2377
S 1.7467 1.0084 17.6314
S 1.7467 1.0084 22.1505
```

Values from the calculation:
Space group   R-3m, No. 166
DOS(E_F)   2.38 states/eV/f.u.


[4]
A plane-wave DFT calculation with PBE-GGA was carried out for Dy12Tm6Th after structural relaxation.

extended XYZ file:
```
19
Lattice="6.6404 3.8338 4.0347 -6.6404 3.8338 4.0347 0.0000 -7.6677 4.0347" Properties=species:S:1:pos:R:3 pbc="T T T"
Dy -1.7027 -4.7184 4.0347
Dy -4.9377 0.8846 4.0347
Dy 0.0000 -2.0682 2.9576
Dy -1.7911 1.0341 2.9576
Dy 1.7027 -4.7184 4.0347
Dy -3.2349 3.8338 4.0347
Dy 1.7911 1.0341 2.9576
Dy -1.7911 -1.0341 9.1465
Dy 4.9377 0.8846 4.0347
Dy 3.2349 3.8338 4.0347
Dy 1.7911 -1.0341 9.1465
Dy 0.0000 2.0682 9.1465
Tm -2.9186 -1.6850 5.5645
Tm 0.0000 -3.3701 6.5396
Tm -2.9186 1.6850 6.5396
Tm 2.9186 -1.6850 5.5645
Tm 0.0000 3.3701 5.5645
Tm 2.9186 1.6850 6.5396
Th 0.0000 0.0000 6.0520
```

Values from the calculation:
Space group   R-3m, No. 166
DOS(E_F)   36.35 states/eV/f.u.


[5]
A plane-wave DFT calculation with PBE-GGA was carried out for InAgBr2 after structural relaxation.

extended XYZ file:
```
12
Lattice="4.1239 0.0000 0.0000 -2.0620 3.5714 0.0000 0.0000 0.0000 25.4297" Properties=species:S:1:pos:R:3 pbc="T T T"
In 0.0000 0.0000 0.0000
In 0.0000 2.3810 16.9531
In 2.0620 1.1905 8.4765
Ag 0.0000 0.0000 18.8165
Ag 0.0000 2.3810 10.3400
Ag 2.0620 1.1905 1.8634
Br 0.0000 0.0000 6.6987
Br 0.0000 0.0000 11.6485
Br 0.0000 2.3810 3.1719
Br 0.0000 2.3810 23.6518
Br 2.0620 1.1905 15.1752
Br 2.0620 1.1905 20.1250
```

Values from the calculation:
Space group   R3m, No. 160


[6]
A plane-wave DFT calculation with PBE-GGA was carried out for La4Tb5Nd2 after structural relaxation.

extended XYZ file:
```
11
Lattice="8.9747 -1.7867 0.0000 8.9747 1.7867 0.0000 -0.9610 0.0000 11.8397" Properties=species:S:1:pos:R:3 pbc="T T T"
La 0.4013 0.0000 3.0883
La 6.2578 0.0000 2.3975
La 10.7305 0.0000 9.4422
La 16.5870 0.0000 8.7515
Tb 1.2059 0.0000 6.4015
Tb 3.1264 0.0000 0.8170
Tb 8.9747 0.0000 0.0000
Tb 13.8618 0.0000 11.0228
Tb 15.7824 0.0000 5.4382
Nd 4.5024 0.0000 7.6465
Nd 12.4858 0.0000 4.1933
```

Values from the calculation:
Space group   C2/m, No. 12
DOS(E_F)   16.58 states/eV/f.u.


[7]
A plane-wave DFT calculation with PBE-GGA was carried out for Ag5Pd6 after structural relaxation.

extended XYZ file:
```
11
Lattice="-2.2368 3.4966 6.0044 2.2368 -3.4966 6.0044 2.2368 3.4966 -6.0044" Properties=species:S:1:pos:R:3 pbc="T T T"
Ag 0.0000 0.0000 0.0000
Ag 2.2368 0.0000 1.8128
Ag 0.0000 0.0000 3.5278
Ag 0.0000 0.0000 8.4809
Ag 0.0000 3.4966 4.1916
Pd 2.2368 -1.3971 4.3214
Pd 2.2368 2.1075 0.0000
Pd 0.0000 2.0995 1.6830
Pd 2.2368 1.3971 4.3214
Pd 0.0000 1.3890 6.0044
Pd 0.0000 4.8937 1.6830
```

Values from the calculation:
Space group   Immm, No. 71
DOS(E_F)   11.34 states/eV/f.u.


[8]
A plane-wave DFT calculation with PBE-GGA was carried out for Zn4Ir after structural relaxation.

extended XYZ file:
```
10
Lattice="6.2523 0.0000 0.0000 0.0000 6.2523 0.0000 0.0000 0.0000 4.3685" Properties=species:S:1:pos:R:3 pbc="T T T"
Zn 1.2470 1.2470 0.0000
Zn 1.2470 5.0053 0.0000
Zn 1.8791 1.8791 2.1842
Zn 1.8791 4.3732 2.1842
Zn 4.3732 1.8791 2.1842
Zn 4.3732 4.3732 2.1842
Zn 5.0053 1.2470 0.0000
Zn 5.0053 5.0053 0.0000
Ir 0.0000 0.0000 2.1842
Ir 3.1262 3.1262 0.0000
```

Values from the calculation:
Space group   I4/mmm, No. 139
DOS(E_F)   2.14 states/eV/f.u.


[9]
A plane-wave DFT calculation with PBE-GGA was carried out for ScReAs2 after structural relaxation.

extended XYZ file:
```
4
Lattice="3.4588 0.0000 0.0000 0.0000 3.9962 0.0000 0.0000 0.0000 4.9150" Properties=species:S:1:pos:R:3 pbc="T T T"
Sc 0.0000 0.0000 0.0000
Re 1.7294 0.0000 2.4575
As 0.0000 1.9981 2.4575
As 1.7294 1.9981 0.0000
```

Values from the calculation:
Space group   Pmmm, No. 47
DOS(E_F)   2.33 states/eV/f.u.


[10]
A plane-wave DFT calculation with PBE-GGA was carried out for Li2MgBe after structural relaxation.

extended XYZ file:
```
8
Lattice="5.3022 0.0000 0.0000 0.0000 9.3295 0.0000 -1.1440 0.0000 2.5617" Properties=species:S:1:pos:R:3 pbc="T T T"
Li 1.3255 2.3324 0.0000
Li 1.3255 6.9971 0.0000
Li 3.9766 2.3324 0.0000
Li 3.9766 6.9971 0.0000
Mg -0.5720 0.0000 1.2808
Mg 2.0791 4.6647 1.2808
Be -0.5720 4.6647 1.2808
Be 2.0791 0.0000 1.2808
```

Values from the calculation:
Space group   C2/m, No. 12
DOS(E_F)   1.06 states/eV/f.u.


[11]
A plane-wave DFT calculation with PBE-GGA was carried out for CeScTl6 after structural relaxation.

extended XYZ file:
```
8
Lattice="4.7698 0.0000 0.0000 0.0000 4.7698 0.0000 0.0000 0.0000 9.4533" Properties=species:S:1:pos:R:3 pbc="T T T"
Ce 0.0000 0.0000 0.0000
Sc 0.0000 0.0000 4.7266
Tl 0.0000 2.3849 2.4441
Tl 0.0000 2.3849 7.0092
Tl 2.3849 0.0000 2.4441
Tl 2.3849 0.0000 7.0092
Tl 2.3849 2.3849 0.0000
Tl 2.3849 2.3849 4.7266
```

Values from the calculation:
Space group   P4/mmm, No. 123
DOS(E_F)   8.12 states/eV/f.u.


[12]
A plane-wave DFT calculation with PBE-GGA was carried out for PuNpRh3 after structural relaxation.

extended XYZ file:
```
10
Lattice="4.1014 0.0000 0.0000 0.0000 4.1014 0.0000 0.0000 0.0000 11.9294" Properties=species:S:1:pos:R:3 pbc="T T T"
Pu 0.0000 0.0000 0.0000
Pu 2.0507 2.0507 5.9647
Np 0.0000 0.0000 8.0018
Np 2.0507 2.0507 2.0370
Rh 0.0000 0.0000 5.5933
Rh 0.0000 2.0507 3.7048
Rh 0.0000 2.0507 9.6695
Rh 2.0507 0.0000 3.7048
Rh 2.0507 0.0000 9.6695
Rh 2.0507 2.0507 11.5580
```

Values from the calculation:
Space group   I4mm, No. 107
DOS(E_F)   14.78 states/eV/f.u.


Calculated magnetization in order - 0.0, 2.0, 0.0, 0.0, 0.0, 0.0, 0.0, 0.0, 0.0, 0.0, 1.0, 7.4 μB per formula unit
Calculated E_tot in order - -1.8461, -3.9798, -4.6613, -4.4922, -2.6590, -4.6848, -4.0219, -2.7784, -7.0943, -2.0622, -3.4770, -10.1339 eV per atom